PmPrCd2 | PBE | relaxed

Geometry as extended XYZ:
```
4
Lattice="1.8476 1.0667 10.2909 -1.8476 1.0667 10.2909 0.0000 -2.1335 10.2909" Properties=species:S:1:pos:R:3 pbc="T T T"
Pm 0.0000 0.0000 0.0000
Pr 0.0000 0.0000 15.4364
Cd 0.0000 0.0000 7.7563
Cd 0.0000 0.0000 23.1165
```

Calculated values
**Total moment**: 0.000 μB/f.u.
**E_form**: -0.13 eV/atom
**V**: 30.4 Å³ per atom
**Offset from the most stable computed form**: 0.1889 eV/atom